VASP calculation (GGA-PBE) on a geometry-optimized Ta2AlPd2 structure.

crystal system: tetragonal
excess energy over the best structure of this formula in the dataset: 28.8 kJ per mole of atoms
magnetization: 0.00 μB per cell
VASP energy: -7.397 eV per atom

a = 3.738 Å, b = 3.738 Å, c = 13.235 Å
α = 90.00°, β = 90.00°, γ = 90.00°
Space group I4/mmm (No. 139)
One atom of each set of equivalent atoms:
Ta1 0.000 0.500 0.250 [4 per cell]
Al1 0.000 0.000 0.000 [2 per cell]
Pd1 0.000 0.000 0.404 [4 per cell]